[1]
## Li2RuW (PBE)

Data for an optimized crystal structure of Li2RuW.

For the calculated density, the calculation gives 8.381 g cm⁻³. The value obtained for the total energy is -6.16 eV/atom. The density of states at the Fermi level is 0.742 states/eV/atom. For the calculated formation energy, the calculation gives 355 meV/atom.

a = 2.6180 Å, b = 2.6180 Å, c = 9.5541 Å
α = 90.00°, β = 90.00°, γ = 115.30°
Last column: nearest neighbours and their distance in Å.
Positions (direct):
Li 0.0000 0.0000 0.2362  6 Li 2.62-2.80, 2 Ru 2.66, 2 W 2.88
Li 0.0000 0.0000 0.7638  6 Li 2.62-2.80, 2 Ru 2.66, 2 W 2.88
Ru 0.5000 0.5000 0.0000  6 Ru 2.62-2.80, 4 Li 2.66
W 0.5000 0.5000 0.5000  6 W 2.62-2.80, 4 Li 2.88

[2]
## LiRu3W (PBE)

Data for an optimized crystal structure of LiRu3W.

For the calculated density, the calculation gives 7.782 g cm⁻³. The value obtained for the total energy is -7.15 eV/atom. The density of states at the Fermi level is 1.237 states/eV/atom. For the calculated formation energy, the calculation gives 1391 meV/atom.

a = 4.7238 Å, b = 4.7238 Å, c = 4.7238 Å
α = 90.00°, β = 90.00°, γ = 90.00°
Last column: nearest neighbours and their distance in Å.
Positions (direct):
Li 0.0000 0.0000 0.0000  12 Ru 3.34
Ru 0.0000 0.5000 0.5000  2 W 2.36
Ru 0.5000 0.0000 0.5000  2 W 2.36
Ru 0.5000 0.5000 0.0000  2 W 2.36
W 0.5000 0.5000 0.5000  6 Ru 2.36

[3]
## LiRuW (PBE)

Data for an optimized crystal structure of LiRuW.

For the calculated density, the calculation gives 11.434 g cm⁻³. The value obtained for the total energy is -7.84 eV/atom. The density of states at the Fermi level is 0.935 states/eV/atom. For the calculated formation energy, the calculation gives 204 meV/atom.

a = 4.2646 Å, b = 4.2646 Å, c = 2.6911 Å
α = 90.00°, β = 90.00°, γ = 120.00°
Last column: nearest neighbours and their distance in Å.
Positions (direct):
Li 0.0000 0.0000 0.0000  3 Ru 2.62, 3 W 2.67, 2 Li 2.69
Ru 0.6667 0.3333 0.3337  3 W 2.58, 3 Li 2.62, 2 Ru 2.69
W 0.3333 0.6667 0.6202  3 Ru 2.58, 3 Li 2.67, 2 W 2.69

[4]
## Li2RuW (PBE)

Data for an optimized crystal structure of Li2RuW.

For the calculated density, the calculation gives 8.491 g cm⁻³. The value obtained for the total energy is -6.20 eV/atom. The density of states at the Fermi level is 0.384 states/eV/atom. For the calculated formation energy, the calculation gives 313 meV/atom.

a = 5.2543 Å, b = 5.2543 Å, c = 5.2543 Å
α = 140.41°, β = 140.41°, γ = 57.24°
Last column: nearest neighbours and their distance in Å.
Positions (direct):
Li 0.2500 0.7500 0.5000  4 Li 2.52
Li 0.7500 0.2500 0.5000  4 Li 2.52
Ru 0.0000 0.0000 0.0000  4 W 2.52
W 0.5000 0.5000 0.0000  4 Ru 2.52

[5]
## Li2RuW (PBE)

Data for an optimized crystal structure of Li2RuW.

For the calculated density, the calculation gives 8.071 g cm⁻³. The value obtained for the total energy is -6.21 eV/atom. The density of states at the Fermi level is 0.823 states/eV/atom. For the calculated formation energy, the calculation gives 300 meV/atom.

a = 2.7427 Å, b = 3.9045 Å, c = 5.7407 Å
α = 90.00°, β = 90.00°, γ = 90.00°
Last column: nearest neighbours and their distance in Å.
Positions (direct):
Li 0.0000 0.0000 0.0000  6 Li 2.70-2.74, 2 Ru 2.78-2.96, 4 W 2.96
Li 0.5000 0.5000 0.2216  6 Li 2.70-2.74, 2 W 2.72-3.02, 4 Ru 2.92
Ru 0.0000 0.0000 0.5157  4 W 2.60, 2 Ru 2.74, 1 Li 2.78
W 0.5000 0.5000 0.6961  4 Ru 2.60, 1 Li 2.72, 2 W 2.74

[6]
## Li2RuW (PBE)

Data for an optimized crystal structure of Li2RuW.

For the calculated density, the calculation gives 8.371 g cm⁻³. The value obtained for the total energy is -6.18 eV/atom. The density of states at the Fermi level is 0.853 states/eV/atom. For the calculated formation energy, the calculation gives 336 meV/atom.

a = 5.5069 Å, b = 5.5069 Å, c = 2.6463 Å
α = 103.02°, β = 103.02°, γ = 123.05°
Last column: nearest neighbours and their distance in Å.
Positions (direct):
Li 0.0000 0.5000 0.0000  6 Li 2.63-2.71, 2 W 2.77, 2 Ru 2.77
Li 0.5000 0.0000 0.0000  6 Li 2.63-2.71, 2 W 2.77, 2 Ru 2.77
Ru 0.0000 0.0000 0.5000  4 W 2.63-2.71, 2 Ru 2.65, 4 Li 2.77
W 0.5000 0.5000 0.5000  4 Ru 2.63-2.71, 2 W 2.65, 4 Li 2.77

[7]
## Li2RuW (PBE)

Data for an optimized crystal structure of Li2RuW.

For the calculated density, the calculation gives 9.095 g cm⁻³. The value obtained for the total energy is -6.26 eV/atom. The density of states at the Fermi level is 0.816 states/eV/atom. For the calculated formation energy, the calculation gives 259 meV/atom.

a = 4.2571 Å, b = 4.2571 Å, c = 4.2571 Å
α = 60.00°, β = 60.00°, γ = 60.00°
Last column: nearest neighbours and their distance in Å.
Positions (direct):
Li 0.0000 0.0000 0.0000  4 Li 2.61, 4 W 2.61
Li 0.2500 0.2500 0.2500  4 Ru 2.61, 4 Li 2.61
Ru 0.5000 0.5000 0.5000  4 W 2.61, 4 Li 2.61
W 0.7500 0.7500 0.7500  4 Li 2.61, 4 Ru 2.61

[8]
## Li2RuW (PBE)

Data for an optimized crystal structure of Li2RuW.

For the calculated density, the calculation gives 8.501 g cm⁻³. The value obtained for the total energy is -6.25 eV/atom. The density of states at the Fermi level is 0.493 states/eV/atom. For the calculated formation energy, the calculation gives 267 meV/atom.

a = 2.9975 Å, b = 4.1320 Å, c = 4.7124 Å
α = 90.00°, β = 90.00°, γ = 90.00°
Last column: nearest neighbours and their distance in Å.
Positions (direct):
Li 0.0000 0.0000 0.0000  4 Li 2.55, 4 W 2.79
Li 0.5000 0.5000 0.0000  4 Li 2.55, 4 Ru 2.79
Ru 0.0000 0.5000 0.5000  4 W 2.55, 4 Li 2.79
W 0.5000 0.0000 0.5000  4 Ru 2.55, 4 Li 2.79

[9]
## LiRuW4 (PBE)

Data for an optimized crystal structure of LiRuW4.

For the calculated density, the calculation gives 13.888 g cm⁻³. The value obtained for the total energy is -9.93 eV/atom. The density of states at the Fermi level is 0.840 states/eV/atom. For the calculated formation energy, the calculation gives 572 meV/atom.

a = 5.2246 Å, b = 5.2246 Å, c = 5.2246 Å
α = 60.00°, β = 60.00°, γ = 60.00°
Last column: nearest neighbours and their distance in Å.
Positions (direct):
Li 0.0000 0.0000 0.0000  12 W 3.06, 4 Ru 3.20
Ru 0.7500 0.7500 0.7500  12 W 3.07, 4 Li 3.20
W 0.3741 0.3741 0.3741  6 W 2.59-2.63
W 0.3741 0.3741 0.8778  6 W 2.59-2.63
W 0.3741 0.8778 0.3741  6 W 2.59-2.63
W 0.8778 0.3741 0.3741  6 W 2.59-2.63

[10]
## Li2RuW (PBE)

Data for an optimized crystal structure of Li2RuW.

For the calculated density, the calculation gives 7.894 g cm⁻³. The value obtained for the total energy is -6.29 eV/atom. The density of states at the Fermi level is 0.747 states/eV/atom. For the calculated formation energy, the calculation gives 227 meV/atom.

a = 2.7010 Å, b = 2.7010 Å, c = 9.3912 Å
α = 90.00°, β = 90.00°, γ = 113.45°
Last column: nearest neighbours and their distance in Å.
Positions (direct):
Li 0.0000 0.0000 0.0000  2 Ru 2.65, 6 Li 2.70-2.96
Li 0.5000 0.5000 0.2793  8 Li 2.70-3.01, 2 W 2.84
Ru 0.5000 0.5000 0.7664  2 W 2.61, 2 Li 2.65, 4 Ru 2.70
W 0.0000 0.0000 0.5370  2 Ru 2.61, 4 W 2.70, 2 Li 2.84

[11]
## Li2RuW (PBE)

Data for an optimized crystal structure of Li2RuW.

For the calculated density, the calculation gives 8.361 g cm⁻³. The value obtained for the total energy is -6.15 eV/atom. The density of states at the Fermi level is 0.393 states/eV/atom. For the calculated formation energy, the calculation gives 359 meV/atom.

a = 9.7313 Å, b = 9.7313 Å, c = 9.7313 Å
α = 15.77°, β = 15.77°, γ = 15.77°
Last column: nearest neighbours and their distance in Å.
Positions (direct):
Li 0.2448 0.2448 0.2448  6 Li 2.67, 3 Ru 2.73, 3 W 2.98
Li 0.7552 0.7552 0.7552  6 Li 2.67, 3 Ru 2.73, 3 W 2.98
Ru 0.5000 0.5000 0.5000  6 Ru 2.67, 6 Li 2.73
W 0.0000 0.0000 0.0000  6 W 2.67, 6 Li 2.98

[12]
## LiRuW (PBE)

Data for an optimized crystal structure of LiRuW.

For the calculated density, the calculation gives 11.646 g cm⁻³. The value obtained for the total energy is -7.79 eV/atom. The density of states at the Fermi level is 0.989 states/eV/atom. For the calculated formation energy, the calculation gives 262 meV/atom.

a = 4.8678 Å, b = 4.8678 Å, c = 4.8678 Å
α = 142.95°, β = 142.95°, γ = 53.40°
Last column: nearest neighbours and their distance in Å.
Positions (direct):
Li 0.0000 0.0000 0.0000  4 Ru 2.59, 5 W 2.69-2.79
Ru 0.3402 0.3402 0.0000  4 Li 2.59, 4 W 2.60
W 0.6792 0.6792 0.0000  4 Ru 2.60, 5 Li 2.69-2.79

Q: Look up the calculated density of the second one.
A: 7.782 g cm⁻³